Entry from Alexandria: a relaxed structure of MgSc2Ir (PBEsol).

Properties
Energy ... -6.730 eV per atom
Density of states at the Fermi level ... 0.66 states/eV/atom
ΔE_f ... -0.54 eV per atom

Cell lengths 3.177, 3.308, 7.419 Å; angles 90.00, 90.00, 90.00 degrees
Positions (direct):
Mg  0.500  0.500  0.500
Sc  0.000  0.000  0.209
Ir  0.500  0.500  0.000
Sc  0.000  0.000  0.791

Entry from Alexandria: a relaxed structure of Mg2IrSe (PBEsol).

Properties
Energy ... -4.654 eV per atom
E_form (uncorrected) ... -36 kJ/mol of atoms
Density of states at the Fermi level ... 0.33 states/eV/atom

Cell lengths 2.996, 4.376, 6.273 Å; angles 110.41, 103.81, 90.00 degrees
Positions (direct):
Se  0.440  0.440  0.881
Ir  0.762  0.262  0.523
Mg  0.240  0.740  0.481
Mg  0.057  0.057  0.115

Entry from Alexandria: a relaxed structure of MgIrSe (PBEsol).

Properties
Energy ... -5.212 eV per atom
E_form (uncorrected) ... -8 kJ/mol of atoms
Density of states at the Fermi level ... 0.81 states/eV/atom
Energy relative to the lowest polymorph listed for this composition ... 47.6 meV/atom

Cell lengths 3.000, 3.000, 5.934 Å; angles 104.64, 104.64, 90.00 degrees
Positions (direct):
Mg  0.654  0.654  0.308
Ir  0.995  0.995  0.990
Se  0.351  0.351  0.702